[1]
Computed, not measured: a geometry-optimized AcLuZn structure at the PBE-GGA level of DFT.

Properties
Calculated formation energy: -0.140 eV/atom

abc: 3.737 3.737 12.623
angles: 90.00 90.00 90.00
Space group I4mm (No. 107)
Symmetry-distinct sites (fractional):
Ac: 0.000 0.000 0.000 (multiplicity 2)
Lu: 0.000 0.000 0.286 (multiplicity 2)
Zn: 0.000 0.000 0.676 (multiplicity 2)

***

[2]
Computed, not measured: a geometry-optimized SiPtSeF2 structure at the PBE-GGA level of DFT.

Properties
Energy relative to the elements, uncorrected: -0.9942 eV/atom

abc: 3.721 3.721 5.408
angles: 90.00 90.00 90.00
Space group P4/mmm (No. 123)
Symmetry-distinct sites (fractional):
Si: 0.000 0.000 0.000 (multiplicity 1)
Pt: 0.500 0.500 0.500 (multiplicity 1)
Se: 0.000 0.000 0.500 (multiplicity 1)
F: 0.000 0.500 0.000 (multiplicity 2)

***

[3]
Computed, not measured: a geometry-optimized NbNiSb2I structure at the PBE-GGA level of DFT.

Properties
Energy relative to the elements, uncorrected: 0.7843 eV/atom

abc: 4.920 4.920 5.229
angles: 90.00 90.00 90.00
Space group P4/mmm (No. 123)
Symmetry-distinct sites (fractional):
Nb: 0.000 0.000 0.000 (multiplicity 1)
Ni: 0.500 0.500 0.500 (multiplicity 1)
Sb: 0.000 0.500 0.500 (multiplicity 2)
I: 0.500 0.500 0.000 (multiplicity 1)

***

Number 1: density of states at the Fermi level 7.7 states/eV/cell. Number 2: density of states at the Fermi level 1.3 states/eV/cell. Number 3: density of states at the Fermi level 5.3 states/eV/cell.